DFT (PBE-GGA) results for a geometry-optimized DyYAlCu structure.

Values from the calculation:
The value obtained for the total energy is -5.053 eV per atom. The value obtained for the formation energy from the elements is -0.327 eV/atom. The calculation puts the volume at 89 Å³ per cell. The energy above the most stable polymorph in this dataset is 0 meV per atom.

abc: 3.478 3.478 7.384
angles: 90.00 90.00 90.00
Fractional coordinates of all 4 atoms:
Dy1 0.000 0.000 0.372
Al1 0.500 0.500 0.108
Y1 0.000 0.000 0.844
Cu1 0.500 0.500 0.603